The following is a PBE-GGA calculation of La2TiAuO after structural relaxation, from the Alexandria database.

Cell: 5.259 5.259 4.006 Å, 90.00 90.00 90.00°
Positions (direct):
La1 0.000 0.500 0.000
La2 0.500 0.000 0.000
Ti1 0.000 0.000 0.500
Au1 0.500 0.500 0.500
O1 0.000 0.000 0.000

- raw formation energy (eV/f.u.) = -6.7
- DOS at the Fermi energy (states/eV/f.u.) = 3.933
- space group = P4/mmm
- final energy (eV/atom) = -6.537
- size of the total moment (Bohr magnetons per cell) = 1.8
- mass density (g cm⁻³) = 8.1


The following is a PBE-GGA calculation of La4TlAuO after structural relaxation, from the Alexandria database.

Cell: 8.857 8.857 7.064 Å, 90.00 90.00 133.17°
Positions (direct):
La1 0.000 0.500 0.000
La2 0.000 0.500 0.500
La3 0.058 0.942 0.750
La4 0.420 0.580 0.750
La5 0.500 0.000 0.000
La6 0.500 0.000 0.500
La7 0.580 0.420 0.250
La8 0.942 0.058 0.250
Tl1 0.386 0.614 0.250
Tl2 0.614 0.386 0.750
Au1 0.121 0.879 0.250
Au2 0.879 0.121 0.750
O1 0.259 0.741 0.750
O2 0.741 0.259 0.250

- raw formation energy (eV/f.u.) = -7.9
- DOS at the Fermi energy (states/eV/f.u.) = 5.580
- space group = Cmcm
- final energy (eV/atom) = -5.456
- size of the total moment (Bohr magnetons per cell) = 0.0
- mass density (g cm⁻³) = 8.0


The following is a PBE-GGA calculation of LaY2AuO after structural relaxation, from the Alexandria database.

Cell: 4.749 4.749 5.001 Å, 90.00 90.00 90.00°
Positions (direct):
La1 0.000 0.000 0.000
Y1 0.000 0.500 0.500
Y2 0.500 0.000 0.500
Au1 0.500 0.500 0.000
O1 0.000 0.000 0.500

- raw formation energy (eV/f.u.) = -7.0
- DOS at the Fermi energy (states/eV/f.u.) = 5.724
- space group = P4/mmm
- final energy (eV/atom) = -6.620
- size of the total moment (Bohr magnetons per cell) = 0.0
- mass density (g cm⁻³) = 7.8


The following is a PBE-GGA calculation of La2YAuO after structural relaxation, from the Alexandria database.

Cell: 5.060 5.060 4.670 Å, 90.00 90.00 90.00°
Positions (direct):
La1 0.000 0.500 0.000
La2 0.500 0.000 0.000
Y1 0.000 0.000 0.500
Au1 0.500 0.500 0.500
O1 0.000 0.000 0.000

- raw formation energy (eV/f.u.) = -7.0
- DOS at the Fermi energy (states/eV/f.u.) = 4.637
- space group = P4/mmm
- final energy (eV/atom) = -6.304
- size of the total moment (Bohr magnetons per cell) = 0.0
- mass density (g cm⁻³) = 8.1


The following is a PBE-GGA calculation of LaY2AuO after structural relaxation, from the Alexandria database.

Cell: 4.528 4.528 6.476 Å, 90.00 90.00 90.00°
Positions (direct):
La1 0.000 0.000 0.000
Y1 0.000 0.500 0.500
Y2 0.500 0.000 0.500
Au1 0.500 0.500 0.000
O1 0.500 0.500 0.500

- raw formation energy (eV/f.u.) = -5.3
- DOS at the Fermi energy (states/eV/f.u.) = 5.364
- space group = P4/mmm
- final energy (eV/atom) = -6.284
- size of the total moment (Bohr magnetons per cell) = 0.0
- mass density (g cm⁻³) = 6.6


The following is a PBE-GGA calculation of LaOsAu after structural relaxation, from the Alexandria database.

Cell: 2.947 2.947 7.890 Å, 90.00 90.00 120.00°
Positions (direct):
La1 0.000 0.000 0.000
Os1 0.667 0.333 0.335
Au1 0.333 0.667 0.635

- DOS at the Fermi energy (states/eV/f.u.) = 3.308
- space group = P3m1
- final energy (eV/atom) = -5.892
- size of the total moment (Bohr magnetons per cell) = 0.2
- mass density (g cm⁻³) = 14.7


The following is a PBE-GGA calculation of LaOs2Au after structural relaxation, from the Alexandria database.

Cell: 4.772 4.772 5.379 Å, 109.69 109.69 55.37°
Positions (direct):
La1 0.000 0.000 0.000
Os1 0.201 0.201 0.551
Os2 0.799 0.799 0.449
Au1 0.500 0.500 0.500

- DOS at the Fermi energy (states/eV/f.u.) = 1.878
- space group = C2/m
- final energy (eV/atom) = -7.534
- size of the total moment (Bohr magnetons per cell) = 0.0
- mass density (g cm⁻³) = 12.8


The following is a PBE-GGA calculation of La5Os2Au2 after structural relaxation, from the Alexandria database.

Cell: 8.718 8.718 7.944 Å, 90.00 90.00 54.74°
Positions (direct):
La1 0.000 0.000 0.000
La2 0.045 0.708 0.664
La3 0.208 0.545 0.164
La4 0.292 0.955 0.664
La5 0.455 0.792 0.164
La6 0.500 0.500 0.500
La7 0.545 0.208 0.836
La8 0.708 0.045 0.336
La9 0.792 0.455 0.836
La10 0.955 0.292 0.336
Os1 0.135 0.865 0.366
Os2 0.365 0.635 0.866
Os3 0.635 0.365 0.134
Os4 0.865 0.135 0.634
Au1 0.208 0.208 0.000
Au2 0.292 0.292 0.500
Au3 0.708 0.708 0.500
Au4 0.792 0.792 0.000

- DOS at the Fermi energy (states/eV/f.u.) = 5.814
- space group = Cmce
- final energy (eV/atom) = -6.393
- size of the total moment (Bohr magnetons per cell) = 0.0
- mass density (g cm⁻³) = 9.9